[1]
Material: Ba2SrHg2
Method: DFT, meta-GGA SCAN
State: single point on PBEsol structure

Unit cell a=9.6584 b=9.6584 c=9.6584 alpha=150.62 beta=150.62 gamma=42.04
Closest atoms and distances in Å follow each position.
Positions (direct):
Ba (0.1233, 0.1233, 0.0000)  4 Hg 3.35
Ba (0.8767, 0.8767, 0.0000)  4 Hg 3.35
Sr (0.5000, 0.5000, 0.0000)  8 Ba 4.12
Hg (0.2500, 0.7500, 0.5000)  4 Ba 3.35, 4 Hg 3.46
Hg (0.7500, 0.2500, 0.5000)  4 Ba 3.35, 4 Hg 3.46

Values from the calculation:
ΔE to the lowest computed polymorph (meV/atom): 320
Energy (eV per atom): -47.760
D(E_F) (states/eV per cell): 4.5
Formation enthalpy at 0 K (eV per atom): -0.218
M_tot (μB/cell): 0.00


[2]
Material: SrAlSe
Method: DFT, meta-GGA SCAN
State: single point on PBEsol structure

Unit cell a=5.0358 b=5.0358 c=5.0358 alpha=60.00 beta=60.00 gamma=60.00
Closest atoms and distances in Å follow each position.
Positions (direct):
Sr (0.0000, 0.0000, 0.0000)  4 Se 3.08
Al (0.5000, 0.5000, 0.5000)  4 Se 3.08
Se (0.2500, 0.2500, 0.2500)  4 Al 3.08, 4 Sr 3.08

Values from the calculation:
Uncorrected formation energy (kJ/mol of atoms): -53.4
ΔE to the lowest computed polymorph (meV/atom): 196
Energy (eV per atom): -17.255
D(E_F) (states/eV per cell): 1.5
M_tot (μB/cell): 0.00


[3]
Material: CdTc
Method: DFT, meta-GGA SCAN
State: single point on PBEsol structure

Unit cell a=4.5083 b=4.5083 c=4.5346 alpha=90.00 beta=90.00 gamma=120.00
Closest atoms and distances in Å follow each position.
Positions (direct):
Cd (0.3333, 0.6667, 0.2500)  6 Tc 2.84
Cd (0.6667, 0.3333, 0.7500)  6 Tc 2.84
Tc (0.0000, 0.0000, 0.0000)  2 Tc 2.27
Tc (0.0000, 0.0000, 0.5000)  2 Tc 2.27

Values from the calculation:
ΔE to the lowest computed polymorph (meV/atom): 716
Energy (eV per atom): -31.730
D(E_F) (states/eV per cell): 5.4
Formation enthalpy at 0 K (eV per atom): 1.007
M_tot (μB/cell): 0.00


[4]
Material: Sr3GaN3
Method: DFT, meta-GGA SCAN
State: single point on PBEsol structure

Unit cell a=7.5216 b=7.5216 c=5.3615 alpha=90.00 beta=90.00 gamma=120.00
Closest atoms and distances in Å follow each position.
Positions (direct):
Sr (0.0721, 0.3578, 0.2500)  5 N 2.54-2.70
Sr (0.2857, 0.9279, 0.2500)  5 N 2.54-2.70
Sr (0.3578, 0.2857, 0.7500)  5 N 2.54-2.70
Sr (0.6422, 0.7143, 0.2500)  5 N 2.54-2.70
Sr (0.7143, 0.0721, 0.7500)  5 N 2.54-2.70
Sr (0.9279, 0.6422, 0.7500)  5 N 2.54-2.70
Ga (0.3333, 0.6667, 0.7500)  3 N 1.91
Ga (0.6667, 0.3333, 0.2500)  3 N 1.91
N (0.0935, 0.4014, 0.7500)  1 Ga 1.91
N (0.3079, 0.9065, 0.7500)  1 Ga 1.91
N (0.4014, 0.3079, 0.2500)  1 Ga 1.91
N (0.5986, 0.6921, 0.7500)  1 Ga 1.91
N (0.6921, 0.0935, 0.2500)  1 Ga 1.91
N (0.9065, 0.5986, 0.2500)  1 Ga 1.91

Values from the calculation:
Uncorrected formation energy (kJ/mol of atoms): -79.6
Energy (eV per atom): -16.689
M_tot (μB/cell): 0.00


[5]
Material: MgTc2Pd
Method: DFT, meta-GGA SCAN
State: single point on PBEsol structure

Unit cell a=4.3681 b=4.3681 c=4.3681 alpha=60.00 beta=60.00 gamma=60.00
Closest atoms and distances in Å follow each position.
Positions (direct):
Mg (0.0000, 0.0000, 0.0000)  8 Tc 2.67
Tc (0.2500, 0.2500, 0.2500)  4 Mg 2.67, 4 Pd 2.67
Tc (0.7500, 0.7500, 0.7500)  4 Mg 2.67, 4 Pd 2.67
Pd (0.5000, 0.5000, 0.5000)  8 Tc 2.67

Values from the calculation:
Energy (eV per atom): -26.436
D(E_F) (states/eV per cell): 3.5
Formation enthalpy at 0 K (eV per atom): 0.531
M_tot (μB/cell): 1.78


[6]
Material: TlRhBr
Method: DFT, meta-GGA SCAN
State: single point on PBEsol structure

Unit cell a=4.5400 b=4.5400 c=4.5400 alpha=60.00 beta=60.00 gamma=60.00
Closest atoms and distances in Å follow each position.
Positions (direct):
Tl (0.0000, 0.0000, 0.0000)  4 Rh 2.78
Rh (0.2500, 0.2500, 0.2500)  4 Br 2.78, 4 Tl 2.78
Br (0.5000, 0.5000, 0.5000)  4 Rh 2.78

Values from the calculation:
Uncorrected formation energy (kJ/mol of atoms): 20.6
Energy (eV per atom): -41.650
D(E_F) (states/eV per cell): 2.5
M_tot (μB/cell): 0.00


[7]
Material: Ag4Au
Method: DFT, meta-GGA SCAN
State: single point on PBEsol structure

Unit cell a=10.4339 b=10.4339 c=10.4339 alpha=164.32 beta=164.32 gamma=22.25
Closest atoms and distances in Å follow each position.
Positions (direct):
Ag (0.1006, 0.1006, 0.0000)  8 Ag 2.85-2.87, 4 Au 2.88
Ag (0.2998, 0.2998, 0.0000)  12 Ag 2.85-2.87
Ag (0.7002, 0.7002, 0.0000)  12 Ag 2.85-2.87
Ag (0.8994, 0.8994, 0.0000)  8 Ag 2.85-2.87, 4 Au 2.88
Au (0.5000, 0.5000, 0.0000)  4 Au 2.85, 8 Ag 2.88

Values from the calculation:
ΔE to the lowest computed polymorph (meV/atom): 17
Energy (eV per atom): -38.961
D(E_F) (states/eV per cell): 1.2
Formation enthalpy at 0 K (eV per atom): -0.036
M_tot (μB/cell): 0.00


[8]
Material: MgBiAs2Se
Method: DFT, meta-GGA SCAN
State: single point on PBEsol structure

Unit cell a=5.3533 b=5.3533 c=5.4124 alpha=90.00 beta=90.00 gamma=90.00
Closest atoms and distances in Å follow each position.
Positions (direct):
Mg (0.0000, 0.0000, 0.0000)  4 Se 3.79, 8 As 3.81
Bi (0.5000, 0.5000, 0.5000)  4 As 2.68, 2 Se 2.71
As (0.0000, 0.5000, 0.5000)  2 Bi 2.68
As (0.5000, 0.0000, 0.5000)  2 Bi 2.68
Se (0.5000, 0.5000, 0.0000)  2 Bi 2.71

Values from the calculation:
Uncorrected formation energy (kJ/mol of atoms): 77.9
Energy (eV per atom): -27.995
D(E_F) (states/eV per cell): 6.0
M_tot (μB/cell): 0.00


[9]
Material: RbBa2LiCo
Method: DFT, meta-GGA SCAN
State: single point on PBEsol structure

Unit cell a=5.7656 b=5.7656 c=5.8471 alpha=90.00 beta=90.00 gamma=90.00
Closest atoms and distances in Å follow each position.
Positions (direct):
Rb (0.0000, 0.0000, 0.0000)  4 Li 4.08, 8 Ba 4.11
Ba (0.0000, 0.5000, 0.5000)  2 Co 2.88
Ba (0.5000, 0.0000, 0.5000)  2 Co 2.88
Li (0.5000, 0.5000, 0.0000)  2 Co 2.92
Co (0.5000, 0.5000, 0.5000)  4 Ba 2.88, 2 Li 2.92

Values from the calculation:
Energy (eV per atom): -23.481
D(E_F) (states/eV per cell): 3.3
Formation enthalpy at 0 K (eV per atom): 0.426
M_tot (μB/cell): 1.22


[10]
Material: AlCrSN2
Method: DFT, meta-GGA SCAN
State: single point on PBEsol structure

Unit cell a=3.6579 b=3.6579 c=4.8375 alpha=90.00 beta=90.00 gamma=90.00
Closest atoms and distances in Å follow each position.
Positions (direct):
Al (0.0000, 0.0000, 0.0000)  4 N 1.83
Cr (0.5000, 0.5000, 0.5000)  4 S 2.59
S (0.0000, 0.0000, 0.5000)  2 Al 2.42, 4 Cr 2.59
N (0.0000, 0.5000, 0.0000)  2 Al 1.83
N (0.5000, 0.0000, 0.0000)  2 Al 1.83

Values from the calculation:
Uncorrected formation energy (kJ/mol of atoms): 24.5
Energy (eV per atom): -10.616
D(E_F) (states/eV per cell): 1.8
M_tot (μB/cell): 1.35


[11]
Material: Li3MnCo2O6
Method: DFT, meta-GGA SCAN
State: single point on PBEsol structure

Unit cell a=6.3202 b=6.3202 c=5.6812 alpha=103.34 beta=103.34 gamma=25.81
Closest atoms and distances in Å follow each position.
Positions (direct):
Li (0.0000, 0.0000, 0.0000)  6 O 2.07-2.10
Li (0.3303, 0.3303, 0.6701)  6 O 2.05-2.11
Li (0.6697, 0.6697, 0.3299)  6 O 2.05-2.11
Mn (0.0000, 0.0000, 0.5000)  6 O 1.91-1.94
Co (0.3333, 0.3333, 0.1656)  6 O 1.90-1.94
Co (0.6667, 0.6667, 0.8344)  6 O 1.90-1.94
O (0.1595, 0.1595, 0.5994)  1 Mn 1.91, 2 Co 1.93, 3 Li 2.05-2.11
O (0.1750, 0.1750, 0.0653)  3 Co 1.90-1.91, 3 Li 2.07-2.10
O (0.4948, 0.4948, 0.2629)  1 Co 1.94, 2 Mn 1.94, 3 Li 2.07-2.10
O (0.5052, 0.5052, 0.7371)  1 Co 1.94, 2 Mn 1.94, 3 Li 2.07-2.10
O (0.8250, 0.8250, 0.9347)  3 Co 1.90-1.91, 3 Li 2.07-2.10
O (0.8405, 0.8405, 0.4006)  1 Mn 1.91, 2 Co 1.93, 3 Li 2.05-2.11

Values from the calculation:
Uncorrected formation energy (kJ/mol of atoms): -189.8
ΔE to the lowest computed polymorph (meV/atom): 0
Energy (eV per atom): -10.086
D(E_F) (states/eV per cell): 0.7
M_tot (μB/cell): 2.00


[12]
Material: YPt3
Method: DFT, meta-GGA SCAN
State: single point on PBEsol structure

Unit cell a=2.9013 b=2.9013 c=9.2690 alpha=90.00 beta=90.00 gamma=120.00
Closest atoms and distances in Å follow each position.
Positions (direct):
Y (0.0000, 0.0000, 0.0000)  6 Pt 2.89, 6 Y 2.90
Pt (0.0000, 0.0000, 0.5000)  12 Pt 2.83-2.90
Pt (0.3333, 0.6667, 0.2542)  9 Pt 2.83-2.90, 3 Y 2.89
Pt (0.3333, 0.6667, 0.7458)  9 Pt 2.83-2.90, 3 Y 2.89

Values from the calculation:
Energy (eV per atom): -59.715
D(E_F) (states/eV per cell): 4.5
Formation enthalpy at 0 K (eV per atom): -0.110
M_tot (μB/cell): 0.00


Q: Look up the energy of the sixth one.
A: -41.650 eV per atom


Q: energy of number 1 (Ba2SrHg2)?
A: -47.760 eV per atom


Q: Which formula does entry 2 have?
A: SrAlSe


Q: What is the energy in the ninth record?
A: -23.481 eV per atom